a:
DFT (GGA-PBE) results for a relaxed Mg2HgCl crystal.

POSCAR file:
```
Mg2HgCl
1.0
-2.3631 2.3631 4.1646
2.3631 -2.3631 4.1646
2.3631 2.3631 -4.1646
Mg Hg Cl
2 1 1
direct
0.2500 0.7500 0.5000
0.7500 0.2500 0.5000
0.0000 0.0000 0.0000
0.5000 0.5000 0.0000
```

Values from the calculation:
Space-group type = I4/mmm
Magnetic moment = 0.0 Bohr magnetons per cell


b:
DFT (GGA-PBE) results for a relaxed Mg2HgCl crystal.

POSCAR file:
```
Mg2HgCl
1.0
-2.0225 2.0225 5.7664
2.0225 -2.0225 5.7664
2.0225 2.0225 -5.7664
Mg Hg Cl
2 1 1
direct
0.0000 0.0000 0.0000
0.7500 0.2500 0.5000
0.5000 0.5000 0.0000
0.2500 0.7500 0.5000
```

Values from the calculation:
Space-group type = I-4m2
Magnetic moment = 0.0 Bohr magnetons per cell


c:
DFT (GGA-PBE) results for a relaxed Mg2HgCl crystal.

POSCAR file:
```
Mg2HgCl
1.0
0.0000 3.7220 3.7220
3.7220 0.0000 3.7220
3.7220 3.7220 0.0000
Mg Hg Cl
2 1 1
direct
0.0000 0.0000 0.0000
0.2500 0.2500 0.2500
0.5000 0.5000 0.5000
0.7500 0.7500 0.7500
```

Values from the calculation:
Space-group type = F-43m
Magnetic moment = 0.0 Bohr magnetons per cell


b is favored, and the nearest alternative lies 10.1 kJ/mol of atoms above it.


a:
DFT (GGA-PBE) results for a relaxed MgHgCl4 crystal.

POSCAR file:
```
MgHgCl4
1.0
7.2643 -1.9023 0.0000
7.2643 1.9023 0.0000
-3.0042 0.0000 5.9746
Mg Hg Cl
1 1 4
direct
0.0000 0.0000 0.0000
0.5000 0.5000 0.5000
0.1113 0.1113 0.4211
0.3922 0.3922 0.0425
0.6078 0.6078 0.9575
0.8887 0.8887 0.5789
```

Values from the calculation:
Space-group type = C2/m
Magnetic moment = 0.0 Bohr magnetons per cell


b:
DFT (GGA-PBE) results for a relaxed MgHgCl4 crystal.

POSCAR file:
```
MgHgCl4
1.0
3.9665 -8.5488 0.0000
3.9665 8.5488 0.0000
-3.9071 0.0000 4.9329
Mg Hg Cl
2 2 8
direct
0.1967 0.8033 0.7500
0.8033 0.1967 0.2500
0.3872 0.6128 0.2500
0.6128 0.3872 0.7500
0.0662 0.4751 0.7539
0.1187 0.2781 0.2299
0.2781 0.1187 0.7299
0.4751 0.0662 0.2539
0.5249 0.9338 0.7461
0.7219 0.8813 0.2701
0.8813 0.7219 0.7701
0.9338 0.5249 0.2461
```

Values from the calculation:
Space-group type = C2/c
Magnetic moment = 0.0 Bohr magnetons per cell


a is favored, and the nearest alternative lies 0.5 kJ/mol of atoms above it.


a:
DFT (GGA-PBE) results for a relaxed MgHg2Cl6 crystal.

POSCAR file:
```
MgHg2Cl6
1.0
6.3914 -1.9789 0.0000
6.3914 1.9789 0.0000
-1.0389 0.0000 10.4037
Mg Hg Cl
1 2 6
direct
0.0000 0.0000 0.0000
0.2769 0.2769 0.2656
0.7231 0.7231 0.7344
0.0830 0.0830 0.2228
0.1460 0.1460 0.6045
0.3786 0.3786 0.0546
0.6214 0.6214 0.9454
0.8540 0.8540 0.3955
0.9170 0.9170 0.7772
```

Values from the calculation:
Space-group type = C2/m
Magnetic moment = 0.0 Bohr magnetons per cell


b:
DFT (GGA-PBE) results for a relaxed MgHg2Cl6 crystal.

POSCAR file:
```
MgHg2Cl6
1.0
3.8683 0.0000 0.0000
0.6682 6.7412 0.0000
0.7094 1.6883 9.6588
Mg Hg Cl
1 2 6
direct
0.0000 0.0000 0.0000
0.3693 0.4334 0.3075
0.6307 0.5666 0.6925
0.0239 0.3647 0.8506
0.2310 0.7407 0.5297
0.4523 0.1030 0.1390
0.5477 0.8970 0.8610
0.7690 0.2593 0.4703
0.9761 0.6353 0.1494
```

Values from the calculation:
Space-group type = P-1
Magnetic moment = 0.0 Bohr magnetons per cell


b is favored, and the nearest alternative lies 1.5 kJ/mol of atoms above it.